Here is an optimized crystal structure of PaTiCo2O8 from the Alexandria database. Energies are from PBE+U.

Unit cell a=5.7577 b=5.7577 c=5.7577 alpha=108.33 beta=108.33 gamma=111.78
With the nearest neighbours (Å) after each atom.
Element x y z (fractional)
Pa1 0.0000 0.0000 0.0000  4 O 2.15
Ti1 0.2500 0.7500 0.5000  8 O 2.06-2.24
Co1 0.5000 0.5000 0.0000  4 O 1.79
Co2 0.7500 0.2500 0.5000  4 O 1.83
O1 0.3193 0.1171 0.7978  1 Co 1.79
O2 0.3193 0.5214 0.2022  1 Co 1.79
O3 0.3566 0.0399 0.3168  1 Co 1.83
O4 0.4786 0.6807 0.7978  1 Co 1.79
O5 0.7231 0.0399 0.6832  1 Co 1.83
O6 0.8829 0.6807 0.2022  1 Co 1.79
O7 0.9601 0.2769 0.3168  1 Co 1.83
O8 0.9601 0.6434 0.6832  1 Co 1.83

## Properties
* space group: I-4m2 (119)
* mass density: 5.94 Mg/m³
* total moment: 8.959 μB/cell
* raw total energy: -90.88 eV for the cell shown